Crystalline K2Dy2SnO6 at its relaxed geometry. Source: Alexandria, functional PBE-GGA.

**Crystal system**: monoclinic
**E_form (uncorrected)**: -27.1 eV/f.u.
**Energy**: -6.572 eV/atom

Lattice parameters (Å, degrees): 5.860 5.860 6.652 98.05 98.05 119.69
Atoms (fractional coordinates):
O 0.749 0.749 0.674
Dy 0.335 0.665 0.500
Sn 0.000 0.000 0.500
K 0.164 0.836 0.000
O 0.950 0.630 0.326
Dy 0.665 0.335 0.500
O 0.370 0.050 0.674
O 0.251 0.251 0.326
O 0.630 0.950 0.326
K 0.836 0.164 0.000
O 0.050 0.370 0.674

Crystalline K3Dy2SnO6 at its relaxed geometry. Source: Alexandria, functional PBE-GGA.

**Crystal system**: monoclinic
**E_form (uncorrected)**: -27.2 eV/f.u.
**Energy**: -6.121 eV/atom

Lattice parameters (Å, degrees): 6.033 6.033 6.581 98.76 98.76 120.00
Site moments in Bohr magnetons follow the coordinates.
Atoms (fractional coordinates):
O 0.399 0.063 0.188  0.03
K 0.163 0.837 0.500  0.00
Sn 0.000 0.000 0.000  0.12
O 0.601 0.937 0.812  0.03
Dy 0.667 0.333 0.000  0.01
Dy 0.333 0.667 0.000  0.01
K 0.500 0.500 0.500  0.00
O 0.937 0.601 0.812  0.03
K 0.837 0.163 0.500  0.00
O 0.274 0.274 0.812  0.03
O 0.726 0.726 0.188  0.03
O 0.063 0.399 0.188  0.03

Crystalline K2DyTaO6 at its relaxed geometry. Source: Alexandria, functional PBE-GGA.

**Crystal system**: cubic
**E_form (uncorrected)**: -23.5 eV/f.u.
**Energy**: -7.187 eV/atom

Lattice parameters (Å, degrees): 6.036 6.037 6.039 59.99 59.99 90.00
Site moments in Bohr magnetons follow the coordinates.
Atoms (fractional coordinates):
Ta 0.000 0.000 0.000  -0.10
O 0.234 0.234 0.532  0.30
O 0.766 0.766 0.000  0.30
O 0.766 0.234 0.000  0.30
O 0.234 0.766 0.000  0.30
Dy 0.500 0.500 0.000  -0.05
O 0.766 0.766 0.468  0.30
K 0.250 0.750 0.500  0.00
O 0.234 0.234 0.000  0.30
K 0.750 0.250 0.500  0.00

Crystalline K3Dy3TaO8 at its relaxed geometry. Source: Alexandria, functional PBE-GGA.

**Crystal system**: trigonal
**E_form (uncorrected)**: -40.9 eV/f.u.
**Energy**: -7.304 eV/atom

Lattice parameters (Å, degrees): 6.780 6.780 7.457 117.05 90.00 120.01
Atoms (fractional coordinates):
O 0.207 0.415 0.671
K 0.000 0.500 0.000
K 0.500 0.500 0.000
O 0.730 0.460 0.690
Dy 0.500 0.000 0.500
O 0.793 0.036 0.329
O 0.244 0.036 0.329
Dy 0.000 0.500 0.500
O 0.756 0.964 0.671
O 0.207 0.964 0.671
O 0.270 0.540 0.310
O 0.793 0.585 0.329
Ta 0.000 0.000 0.500
Dy 0.500 0.500 0.500
K 0.000 0.000 0.000

Question: Which formula does entry 2 have?
Answer: K3Dy2SnO6